# 1
DFT (PBEsol) results for a geometry-optimized InAgIr2 structure.

Cell and atoms, written as CIF:
```
data_InAgIr2
_cell_length_a 4.017
_cell_length_b 4.017
_cell_length_c 4.848
_cell_angle_alpha 114.48
_cell_angle_beta 114.48
_cell_angle_gamma 90.00
_symmetry_space_group_name_H-M 'P 1'
_symmetry_Int_Tables_number 1
loop_
_symmetry_equiv_pos_as_xyz
'x,y,z'
loop_
_atom_site_label
_atom_site_type_symbol
_atom_site_fract_x
_atom_site_fract_y
_atom_site_fract_z
_atom_site_occupancy
Ag1 Ag 0.500 0.500 0.000 1
In1 In 0.000 0.000 0.000 1
Ir1 Ir 0.250 0.750 0.500 1
Ir2 Ir 0.750 0.250 0.500 1
```

Summary:
- DOS at the Fermi energy: 1.310 states/eV/atom
- Formation energy from the elements: 1.06 eV/f.u.
- Magnetic moment: 0.00 μB per formula unit

---

# 2
DFT (PBEsol) results for a geometry-optimized GaAs2WBr structure.

Cell and atoms, written as CIF:
```
data_GaAs2WBr
_cell_length_a 4.790
_cell_length_b 4.790
_cell_length_c 5.433
_cell_angle_alpha 90.00
_cell_angle_beta 90.00
_cell_angle_gamma 90.00
_symmetry_space_group_name_H-M 'P 1'
_symmetry_Int_Tables_number 1
loop_
_symmetry_equiv_pos_as_xyz
'x,y,z'
loop_
_atom_site_label
_atom_site_type_symbol
_atom_site_fract_x
_atom_site_fract_y
_atom_site_fract_z
_atom_site_occupancy
Ga1 Ga 0.500 0.500 0.500 1
Br1 Br 0.000 0.000 0.500 1
As1 As 0.500 0.000 0.000 1
As2 As 0.000 0.500 0.000 1
W1 W 0.000 0.000 0.000 1
```

Summary:
- DOS at the Fermi energy: 0.699 states/eV/atom
- Magnetic moment: 0.26 μB per formula unit
- E_form (uncorrected): 2.11 eV per formula unit

---

# 3
DFT (PBEsol) results for a geometry-optimized LiAgAu2 structure.

Cell and atoms, written as CIF:
```
data_LiAgAu2
_cell_length_a 2.846
_cell_length_b 4.874
_cell_length_c 4.938
_cell_angle_alpha 99.48
_cell_angle_beta 90.00
_cell_angle_gamma 106.98
_symmetry_space_group_name_H-M 'P 1'
_symmetry_Int_Tables_number 1
loop_
_symmetry_equiv_pos_as_xyz
'x,y,z'
loop_
_atom_site_label
_atom_site_type_symbol
_atom_site_fract_x
_atom_site_fract_y
_atom_site_fract_z
_atom_site_occupancy
Li1 Li 0.000 0.000 0.500 1
Au1 Au 0.749 0.498 0.746 1
Au2 Au 0.251 0.502 0.254 1
Ag1 Ag 0.500 0.000 0.000 1
```

Summary:
- DOS at the Fermi energy: 0.272 states/eV/atom
- Polymorph energy (0 for the lowest one): 28 kJ/mol of formula units
- Formation energy from the elements: -0.98 eV/f.u.
- Magnetic moment: 0.00 μB per formula unit

---

# 4
DFT (PBEsol) results for a geometry-optimized KCa2Au structure.

Cell and atoms, written as CIF:
```
data_KCa2Au
_cell_length_a 5.462
_cell_length_b 5.462
_cell_length_c 5.462
_cell_angle_alpha 60.00
_cell_angle_beta 60.00
_cell_angle_gamma 60.00
_symmetry_space_group_name_H-M 'P 1'
_symmetry_Int_Tables_number 1
loop_
_symmetry_equiv_pos_as_xyz
'x,y,z'
loop_
_atom_site_label
_atom_site_type_symbol
_atom_site_fract_x
_atom_site_fract_y
_atom_site_fract_z
_atom_site_occupancy
Ca1 Ca 0.750 0.750 0.750 1
Ca2 Ca 0.250 0.250 0.250 1
K1 K 0.000 0.000 0.000 1
Au1 Au 0.500 0.500 0.500 1
```

Summary:
- DOS at the Fermi energy: 1.262 states/eV/atom
- Polymorph energy (0 for the lowest one): 97 kJ/mol of formula units
- Formation energy from the elements: -0.30 eV/f.u.
- Magnetic moment: 0.03 μB per formula unit

---

# 5
DFT (PBEsol) results for a geometry-optimized Ba2ZrPd structure.

Cell and atoms, written as CIF:
```
data_Ba2ZrPd
_cell_length_a 5.582
_cell_length_b 5.582
_cell_length_c 5.582
_cell_angle_alpha 60.00
_cell_angle_beta 60.00
_cell_angle_gamma 60.00
_symmetry_space_group_name_H-M 'P 1'
_symmetry_Int_Tables_number 1
loop_
_symmetry_equiv_pos_as_xyz
'x,y,z'
loop_
_atom_site_label
_atom_site_type_symbol
_atom_site_fract_x
_atom_site_fract_y
_atom_site_fract_z
_atom_site_occupancy
Pd1 Pd 0.500 0.500 0.500 1
Zr1 Zr 0.000 0.000 0.000 1
Ba1 Ba 0.750 0.750 0.750 1
Ba2 Ba 0.250 0.250 0.250 1
```

Summary:
- DOS at the Fermi energy: 1.529 states/eV/atom
- Formation energy from the elements: 2.21 eV/f.u.
- Magnetic moment: 3.50 μB per formula unit

---

# 6
DFT (PBEsol) results for a geometry-optimized CuBr2Cl structure.

Cell and atoms, written as CIF:
```
data_CuBr2Cl
_cell_length_a 3.693
_cell_length_b 3.693
_cell_length_c 7.373
_cell_angle_alpha 75.50
_cell_angle_beta 75.50
_cell_angle_gamma 60.00
_symmetry_space_group_name_H-M 'P 1'
_symmetry_Int_Tables_number 1
loop_
_symmetry_equiv_pos_as_xyz
'x,y,z'
loop_
_atom_site_label
_atom_site_type_symbol
_atom_site_fract_x
_atom_site_fract_y
_atom_site_fract_z
_atom_site_occupancy
Br1 Br 0.269 0.269 0.194 1
Br2 Br 0.731 0.731 0.806 1
Cl1 Cl 0.500 0.500 0.500 1
Cu1 Cu 0.000 0.000 0.000 1
```

Summary:
- DOS at the Fermi energy: 1.254 states/eV/atom
- Magnetic moment: 0.00 μB per formula unit
- E_form (uncorrected): -0.02 eV per formula unit

---

# 7
DFT (PBEsol) results for a geometry-optimized Mn2TlW structure.

Cell and atoms, written as CIF:
```
data_Mn2TlW
_cell_length_a 3.038
_cell_length_b 4.490
_cell_length_c 4.929
_cell_angle_alpha 102.63
_cell_angle_beta 90.00
_cell_angle_gamma 109.77
_symmetry_space_group_name_H-M 'P 1'
_symmetry_Int_Tables_number 1
loop_
_symmetry_equiv_pos_as_xyz
'x,y,z'
loop_
_atom_site_label
_atom_site_type_symbol
_atom_site_fract_x
_atom_site_fract_y
_atom_site_fract_z
_atom_site_occupancy
Mn1 Mn 0.238 0.477 0.196 1
Mn2 Mn 0.762 0.523 0.804 1
Tl1 Tl 0.000 0.000 0.500 1
W1 W 0.500 0.000 0.000 1
```

Summary:
- DOS at the Fermi energy: 0.981 states/eV/atom
- Polymorph energy (0 for the lowest one): 95 kJ/mol of formula units
- Formation energy from the elements: 2.73 eV/f.u.
- Magnetic moment: 3.57 μB per formula unit

---

# 8
DFT (PBEsol) results for a geometry-optimized Ce8SbPd24 structure.

Cell and atoms, written as CIF:
```
data_Ce8SbPd24
_cell_length_a 8.327
_cell_length_b 8.327
_cell_length_c 8.327
_cell_angle_alpha 90.00
_cell_angle_beta 90.00
_cell_angle_gamma 90.00
_symmetry_space_group_name_H-M 'P 1'
_symmetry_Int_Tables_number 1
loop_
_symmetry_equiv_pos_as_xyz
'x,y,z'
loop_
_atom_site_label
_atom_site_type_symbol
_atom_site_fract_x
_atom_site_fract_y
_atom_site_fract_z
_atom_site_occupancy
Pd1 Pd 0.500 0.000 0.731 1
Pd2 Pd 0.000 0.320 0.000 1
Pd3 Pd 0.731 0.500 0.000 1
Pd4 Pd 0.500 0.000 0.269 1
Pd5 Pd 0.000 0.680 0.000 1
Pd6 Pd 0.269 0.500 0.000 1
Pd7 Pd 0.000 0.269 0.500 1
Pd8 Pd 0.744 0.500 0.500 1
Pd9 Pd 0.000 0.500 0.269 1
Pd10 Pd 0.256 0.500 0.500 1
Pd11 Pd 0.731 0.000 0.500 1
Pd12 Pd 0.500 0.500 0.744 1
Pd13 Pd 0.000 0.500 0.731 1
Pd14 Pd 0.000 0.000 0.680 1
Pd15 Pd 0.500 0.731 0.000 1
Pd16 Pd 0.500 0.256 0.500 1
Pd17 Pd 0.000 0.000 0.320 1
Pd18 Pd 0.500 0.500 0.256 1
Pd19 Pd 0.320 0.000 0.000 1
Pd20 Pd 0.500 0.744 0.500 1
Pd21 Pd 0.269 0.000 0.500 1
Pd22 Pd 0.500 0.269 0.000 1
Pd23 Pd 0.680 0.000 0.000 1
Pd24 Pd 0.000 0.731 0.500 1
Ce1 Ce 0.754 0.754 0.754 1
Ce2 Ce 0.246 0.246 0.754 1
Ce3 Ce 0.754 0.246 0.754 1
Ce4 Ce 0.754 0.246 0.246 1
Ce5 Ce 0.754 0.754 0.246 1
Ce6 Ce 0.246 0.754 0.754 1
Ce7 Ce 0.246 0.754 0.246 1
Ce8 Ce 0.246 0.246 0.246 1
Sb1 Sb 0.000 0.000 0.000 1
```

Summary:
- DOS at the Fermi energy: 0.870 states/eV/atom
- Magnetic moment: 2.45 μB per formula unit
- E_form (uncorrected): -25.17 eV per formula unit

---

# 9
DFT (PBEsol) results for a geometry-optimized CaTbPd2 structure.

Cell and atoms, written as CIF:
```
data_CaTbPd2
_cell_length_a 4.883
_cell_length_b 4.883
_cell_length_c 4.883
_cell_angle_alpha 60.00
_cell_angle_beta 60.00
_cell_angle_gamma 60.00
_symmetry_space_group_name_H-M 'P 1'
_symmetry_Int_Tables_number 1
loop_
_symmetry_equiv_pos_as_xyz
'x,y,z'
loop_
_atom_site_label
_atom_site_type_symbol
_atom_site_fract_x
_atom_site_fract_y
_atom_site_fract_z
_atom_site_occupancy
Pd1 Pd 0.750 0.750 0.750 1
Pd2 Pd 0.250 0.250 0.250 1
Ca1 Ca 0.500 0.500 0.500 1
Tb1 Tb 0.000 0.000 0.000 1
```

Summary:
- DOS at the Fermi energy: 0.506 states/eV/atom
- Formation energy from the elements: -2.96 eV/f.u.
- Magnetic moment: 0.00 μB per formula unit

---

# 10
DFT (PBEsol) results for a geometry-optimized Na2AsPH8O10 structure.

Cell and atoms, written as CIF:
```
data_Na2AsPH8O10
_cell_length_a 5.067
_cell_length_b 8.257
_cell_length_c 10.250
_cell_angle_alpha 90.00
_cell_angle_beta 90.00
_cell_angle_gamma 89.83
_symmetry_space_group_name_H-M 'P 1'
_symmetry_Int_Tables_number 1
loop_
_symmetry_equiv_pos_as_xyz
'x,y,z'
loop_
_atom_site_label
_atom_site_type_symbol
_atom_site_fract_x
_atom_site_fract_y
_atom_site_fract_z
_atom_site_occupancy
H1 H 0.431 0.229 0.087 1
H2 H 0.235 0.483 0.802 1
H3 H 0.103 0.112 0.344 1
H4 H 0.804 0.453 0.553 1
H5 H 0.897 0.888 0.844 1
H6 H 0.765 0.517 0.302 1
H7 H 0.307 0.038 0.444 1
H8 H 0.395 0.622 0.156 1
H9 H 0.036 0.721 0.410 1
H10 H 0.196 0.547 0.053 1
H11 H 0.964 0.279 0.910 1
H12 H 0.605 0.378 0.656 1
H13 H 0.569 0.771 0.587 1
H14 H 0.728 0.009 0.206 1
H15 H 0.693 0.962 0.944 1
H16 H 0.272 0.991 0.706 1
O1 O 0.326 0.635 0.065 1
O2 O 0.482 0.299 0.168 1
O3 O 0.432 0.119 0.966 1
O4 O 0.971 0.795 0.333 1
O5 O 0.547 0.634 0.314 1
O6 O 0.674 0.365 0.565 1
O7 O 0.094 0.577 0.795 1
O8 O 0.453 0.366 0.814 1
O9 O 0.584 0.915 0.220 1
O10 O 0.416 0.085 0.720 1
O11 O 0.056 0.884 0.689 1
O12 O 0.934 0.395 0.022 1
O13 O 0.518 0.701 0.668 1
O14 O 0.906 0.423 0.295 1
O15 O 0.066 0.605 0.522 1
O16 O 0.178 0.128 0.433 1
O17 O 0.029 0.205 0.833 1
O18 O 0.568 0.881 0.466 1
O19 O 0.944 0.116 0.189 1
O20 O 0.822 0.872 0.933 1
As1 As 0.174 0.695 0.661 1
As2 As 0.826 0.305 0.161 1
Na1 Na 0.678 0.599 0.910 1
Na2 Na 0.185 0.907 0.084 1
Na3 Na 0.815 0.093 0.584 1
Na4 Na 0.322 0.401 0.410 1
P1 P 0.659 0.804 0.338 1
P2 P 0.341 0.196 0.838 1
```

Summary:
- DOS at the Fermi energy: 0.000 states/eV/atom
- Magnetic moment: 0.04 μB per formula unit

---

Number 1: raw total energy -6.220 eV/atom. Number 2: raw total energy -5.425 eV/atom. Number 3: raw total energy -3.525 eV/atom. Number 4: raw total energy -2.405 eV/atom. Number 5: raw total energy -4.285 eV/atom. Number 6: raw total energy -2.525 eV/atom. Number 7: raw total energy -8.307 eV/atom. Number 8: raw total energy -6.833 eV/atom. Number 9: raw total energy -5.505 eV/atom. Number 10: raw total energy -5.645 eV/atom.